A plane-wave DFT calculation with PBE-GGA was carried out for a relaxed structure of TmCu2Ni5.

Cell lengths 3.5327, 5.9428, 5.9428 Å; angles 68.63, 72.71, 72.71 degrees
Last column: nearest neighbours and their distance in Å.
Fractional coordinates of all 8 atoms:
Tm  0.0000  0.0000  0.0000  4 Cu 2.84, 8 Ni 3.02
Cu  0.7425  0.7575  0.7575  7 Ni 2.33-2.43
Cu  0.2575  0.2425  0.2425  7 Ni 2.33-2.43
Ni  0.0000  0.5000  0.5000  2 Cu 2.36, 8 Ni 2.49
Ni  0.6349  0.5500  0.1802  3 Cu 2.33-2.43, 4 Ni 2.47-2.49
Ni  0.3651  0.4500  0.8198  3 Cu 2.33-2.43, 4 Ni 2.47-2.49
Ni  0.3651  0.8198  0.4500  3 Cu 2.33-2.43, 4 Ni 2.47-2.49
Ni  0.6349  0.1802  0.5500  3 Cu 2.33-2.43, 4 Ni 2.47-2.49

- Crystal system: orthorhombic
- Energy relative to the elements: -0.4 kcal/mol of atoms


A plane-wave DFT calculation with PBE-GGA was carried out for a relaxed structure of NaThSb.

Cell lengths 5.0031, 5.0031, 9.6129 Å; angles 74.92, 74.92, 60.00 degrees
Last column: nearest neighbours and their distance in Å.
Fractional coordinates of all 6 atoms:
Th  0.2951  0.2951  0.1148  4 Sb 3.17-3.41
Th  0.7049  0.7049  0.8852  4 Sb 3.17-3.41
Na  0.1345  0.1345  0.5964  3 Sb 3.19, 3 Na 3.39
Na  0.8655  0.8655  0.4036  3 Sb 3.19, 3 Na 3.39
Sb  0.4189  0.4189  0.7432  4 Th 3.17-3.41, 3 Na 3.19
Sb  0.5811  0.5811  0.2568  4 Th 3.17-3.41, 3 Na 3.19

- Crystal system: trigonal
- E_form (uncorrected): -0.76 eV per formula unit


A plane-wave DFT calculation with PBE-GGA was carried out for a relaxed structure of ThGa12Pt6.

Cell lengths 7.2184, 7.2184, 7.2184 Å; angles 104.45, 104.45, 104.45 degrees
Last column: nearest neighbours and their distance in Å.
Fractional coordinates of all 19 atoms:
Th  0.0000  0.0000  0.0000  6 Ga 3.22
Ga  0.8900  0.1100  0.5000  3 Ga 2.51-2.79, 4 Pt 2.52-2.67
Ga  0.8547  0.6042  0.6042  4 Pt 2.59-2.83, 4 Ga 2.79-2.86
Ga  0.6042  0.6042  0.8547  4 Pt 2.59-2.83, 4 Ga 2.79-2.86
Ga  0.3958  0.1453  0.3958  4 Pt 2.59-2.83, 4 Ga 2.79-2.86
Ga  0.3958  0.3958  0.1453  4 Pt 2.59-2.83, 4 Ga 2.79-2.86
Ga  0.1453  0.3958  0.3958  4 Pt 2.59-2.83, 4 Ga 2.79-2.86
Ga  0.1100  0.5000  0.8900  3 Ga 2.51-2.79, 4 Pt 2.52-2.67
Ga  0.5000  0.8900  0.1100  3 Ga 2.51-2.79, 4 Pt 2.52-2.67
Ga  0.1100  0.8900  0.5000  3 Ga 2.51-2.79, 4 Pt 2.52-2.67
Ga  0.8900  0.5000  0.1100  3 Ga 2.51-2.79, 4 Pt 2.52-2.67
Ga  0.5000  0.1100  0.8900  3 Ga 2.51-2.79, 4 Pt 2.52-2.67
Ga  0.6042  0.8547  0.6042  4 Pt 2.59-2.83, 4 Ga 2.79-2.86
Pt  0.7185  0.2843  0.2843  7 Ga 2.52-2.69
Pt  0.2843  0.2843  0.7185  7 Ga 2.52-2.69
Pt  0.2843  0.7185  0.2843  7 Ga 2.52-2.69
Pt  0.7157  0.7157  0.2815  7 Ga 2.52-2.69
Pt  0.2815  0.7157  0.7157  7 Ga 2.52-2.69
Pt  0.7157  0.2815  0.7157  7 Ga 2.52-2.69

- Crystal system: trigonal
- Energy relative to the elements: -12.7 kcal/mol of atoms


A plane-wave DFT calculation with PBE-GGA was carried out for a relaxed structure of TaFeS3.

Cell lengths 4.7675, 4.7675, 4.7675 Å; angles 90.00, 90.00, 90.00 degrees
Last column: nearest neighbours and their distance in Å.
Fractional coordinates of all 5 atoms:
S  0.0000  0.5000  0.0000  2 Ta 2.38
S  0.0000  0.0000  0.5000  2 Ta 2.38
S  0.5000  0.0000  0.0000  2 Ta 2.38
Fe  0.5000  0.5000  0.5000  12 S 3.37
Ta  0.0000  0.0000  0.0000  6 S 2.38

- Crystal system: cubic
- E_form (uncorrected): 0.73 eV per formula unit


Number 1: mass density 9.03 Mg/m³, D(E_F) 11.42 states/eV per cell. Number 2: mass density 6.30 Mg/m³, D(E_F) 5.03 states/eV per cell. Number 3: mass density 11.18 Mg/m³, D(E_F) 7.15 states/eV per cell. Number 4: mass density 5.10 Mg/m³, D(E_F) 5.92 states/eV per cell.